Material: Rb2SmRhO4
Method: DFT, PBE
State: relaxed

The structure in POSCAR format:
```
Rb2SmRhO4
1.0
-2.441 0.873 2.308
3.446 -1.677 4.278
1.229 6.583 -1.190
Rb Sm Rh O
2 1 1 4
Direct
0.500 0.000 0.500 Rb
0.000 0.500 0.500 Rb
0.500 0.500 0.000 Sm
0.000 0.000 0.000 Rh
0.500 0.197 0.170 O
0.500 0.803 0.830 O
0.000 0.256 0.816 O
0.000 0.744 0.184 O
```

## Properties
**Total magnetization**: 0.00 μB/cell
**Total energy**: -47.34 eV for the cell shown
**ΔE_f (raw)**: -1.688 eV per atom